# 1
# Be5C, optimized geometry, DFT PBE
# VASP energy (eV/atom): -4.03
# Energy of formation from the pure elements (meV per atom): 614
# DOS at the Fermi energy (states/eV per cell): 0.50
# Total moment (μB/atom): 0.00
# Energy relative to the lowest polymorph listed for this composition (eV/atom): 0.318
data_Be5C
_space_group_name_H-M_alt 'P -6 2 m'
_space_group_IT_number 189
_space_group_name_Hall 'P -6 -2'
_cell_length_a 3.6135
_cell_length_b 3.6135
_cell_length_c 4.1488
_cell_angle_alpha 90.00
_cell_angle_beta 90.00
_cell_angle_gamma 120.00
loop_
_atom_site_label
_atom_site_fract_x
_atom_site_fract_y
_atom_site_fract_z
Be1 0.0000 0.6720 0.0000
Be2 0.3333 0.6667 0.5000
C1 0.0000 0.0000 0.5000

***

# 2
# TbPr2Pd3, optimized geometry, DFT PBE
# VASP energy (eV/atom): -5.64
# Energy of formation from the pure elements (meV per atom): -681
# DOS at the Fermi energy (states/eV per cell): 16.33
# Total moment (μB/atom): 0.00
data_TbPr2Pd3
_space_group_name_H-M_alt 'C 1 2/c 1'
_space_group_IT_number 15
_space_group_name_Hall '-C 2yc'
_cell_length_a 13.246
_cell_length_b 5.929
_cell_length_c 8.394
_cell_angle_alpha 90.00
_cell_angle_beta 108.52
_cell_angle_gamma 90.00
loop_
_atom_site_label
_atom_site_fract_x
_atom_site_fract_y
_atom_site_fract_z
Tb1 0.000 0.006 0.250
Pr1 0.168 0.497 0.084
Pd1 0.000 0.494 0.750
Pd2 0.159 0.003 0.580

***

# 3
# La2TmPb, optimized geometry, DFT PBE
# VASP energy (eV/atom): -4.65
# Energy of formation from the pure elements (meV per atom): -144
# DOS at the Fermi energy (states/eV per cell): 13.92
# Total moment (μB/atom): 0.11
# Energy relative to the lowest polymorph listed for this composition (eV/atom): 0.183
data_La2TmPb
_space_group_name_H-M_alt 'R 3 m'
_space_group_IT_number 160
_space_group_name_Hall 'R 3 -2"'
_cell_length_a 3.6836
_cell_length_b 3.6836
_cell_length_c 34.1823
_cell_angle_alpha 90.00
_cell_angle_beta 90.00
_cell_angle_gamma 120.00
loop_
_atom_site_label
_atom_site_fract_x
_atom_site_fract_y
_atom_site_fract_z
La1 0.0000 0.0000 0.0000
La2 0.0000 0.0000 0.1686
Tm1 0.0000 0.0000 0.7506
Pb1 0.0000 0.0000 0.5844

***

# 4
# NiTeSN2, optimized geometry, DFT PBE
# VASP energy (eV/atom): -4.69
# DOS at the Fermi energy (states/eV per cell): 3.23
# Formation energy without anion corrections (kcal/mol of atoms): 28.7
# Total moment (μB/atom): 0.48
# Energy relative to the lowest polymorph listed for this composition (eV/atom): 0.031
data_NiTeSN2
_space_group_name_H-M_alt 'P 4/m m m'
_space_group_IT_number 123
_space_group_name_Hall '-P 4 2'
_cell_length_a 3.843
_cell_length_b 3.843
_cell_length_c 4.713
_cell_angle_alpha 90.00
_cell_angle_beta 90.00
_cell_angle_gamma 90.00
loop_
_atom_site_label
_atom_site_fract_x
_atom_site_fract_y
_atom_site_fract_z
Ni1 0.000 0.000 0.000
Te1 0.500 0.500 0.500
S1 0.000 0.000 0.500
N1 0.000 0.500 0.000

***

# 5
# Ce2CdHg6, optimized geometry, DFT PBE
# VASP energy (eV/atom): -1.83
# Energy of formation from the pure elements (meV per atom): -208
# DOS at the Fermi energy (states/eV per cell): 18.44
# Total moment (μB/atom): 0.25
# Energy relative to the lowest polymorph listed for this composition (eV/atom): 0.012
data_Ce2CdHg6
_space_group_name_H-M_alt 'P -3 m 1'
_space_group_IT_number 164
_space_group_name_Hall '-P 3 2"'
_cell_length_a 6.7999
_cell_length_b 6.7999
_cell_length_c 5.8021
_cell_angle_alpha 90.00
_cell_angle_beta 90.00
_cell_angle_gamma 120.00
loop_
_atom_site_label
_atom_site_fract_x
_atom_site_fract_y
_atom_site_fract_z
Ce1 0.3333 0.6667 0.1870
Cd1 0.0000 0.0000 0.0000
Hg1 0.1841 0.3682 0.6832

***

# 6
# Pm3Y2Ho, optimized geometry, DFT PBE
# VASP energy (eV/atom): -5.30
# Energy of formation from the pure elements (meV per atom): -4
# DOS at the Fermi energy (states/eV per cell): 29.74
# Total moment (μB/atom): 0.00
# Energy relative to the lowest polymorph listed for this composition (eV/atom): 0.000
data_Pm3Y2Ho
_space_group_name_H-M_alt 'C m c m'
_space_group_IT_number 63
_space_group_name_Hall '-C 2c 2'
_cell_length_a 10.848
_cell_length_b 6.262
_cell_length_c 11.634
_cell_angle_alpha 90.00
_cell_angle_beta 90.00
_cell_angle_gamma 90.00
loop_
_atom_site_label
_atom_site_fract_x
_atom_site_fract_y
_atom_site_fract_z
Pm1 0.000 0.000 0.000
Pm2 0.166 0.500 0.000
Y1 0.167 0.167 0.250
Ho1 0.000 0.334 0.750

***

# 7
# Er6BiTe3Pt2, optimized geometry, DFT PBE
# VASP energy (eV/atom): -5.58
# DOS at the Fermi energy (states/eV per cell): 12.56
# Formation energy without anion corrections (kcal/mol of atoms): -27.4
# Total moment (μB/atom): 0.00
data_Er6BiTe3Pt2
_space_group_name_H-M_alt 'C 1 2/m 1'
_space_group_IT_number 12
_space_group_name_Hall '-C 2y'
_cell_length_a 18.976
_cell_length_b 4.210
_cell_length_c 8.728
_cell_angle_alpha 90.00
_cell_angle_beta 106.34
_cell_angle_gamma 90.00
loop_
_atom_site_label
_atom_site_fract_x
_atom_site_fract_y
_atom_site_fract_z
Er1 0.017 0.000 0.260
Er2 0.173 0.500 0.135
Er3 0.174 0.500 0.573
Bi1 0.000 0.500 0.000
Te1 0.000 0.500 0.500
Te2 0.159 0.000 0.848
Pt1 0.172 0.000 0.353

***

# 8
# ZrTaRe2Bi, optimized geometry, DFT PBE
# VASP energy (eV/atom): -7.29
# Energy of formation from the pure elements (meV per atom): 2545
# DOS at the Fermi energy (states/eV per cell): 7.71
# Total moment (μB/atom): 0.00
data_ZrTaRe2Bi
_space_group_name_H-M_alt 'P 4/m m m'
_space_group_IT_number 123
_space_group_name_Hall '-P 4 2'
_cell_length_a 4.899
_cell_length_b 4.899
_cell_length_c 5.126
_cell_angle_alpha 90.00
_cell_angle_beta 90.00
_cell_angle_gamma 90.00
loop_
_atom_site_label
_atom_site_fract_x
_atom_site_fract_y
_atom_site_fract_z
Zr1 0.000 0.000 0.000
Ta1 0.500 0.500 0.000
Re1 0.000 0.500 0.500
Bi1 0.000 0.000 0.500

***

# 9
# AcPm2Ga, optimized geometry, DFT PBE
# VASP energy (eV/atom): -4.40
# Energy of formation from the pure elements (meV per atom): -243
# DOS at the Fermi energy (states/eV per cell): 4.82
# Total moment (μB/atom): 0.00
# Energy relative to the lowest polymorph listed for this composition (eV/atom): 0.000
data_AcPm2Ga
_space_group_name_H-M_alt 'P 4/m m m'
_space_group_IT_number 123
_space_group_name_Hall '-P 4 2'
_cell_length_a 3.692
_cell_length_b 3.692
_cell_length_c 9.297
_cell_angle_alpha 90.00
_cell_angle_beta 90.00
_cell_angle_gamma 90.00
loop_
_atom_site_label
_atom_site_fract_x
_atom_site_fract_y
_atom_site_fract_z
Ac1 0.000 0.000 0.000
Pm1 0.500 0.500 0.301
Ga1 0.000 0.000 0.500

***

# 10
# Tb2TmAu4, optimized geometry, DFT PBE
# VASP energy (eV/atom): -4.55
# Energy of formation from the pure elements (meV per atom): -712
# DOS at the Fermi energy (states/eV per cell): 10.29
# Total moment (μB/atom): 0.00
# Energy relative to the lowest polymorph listed for this composition (eV/atom): 0.000
data_Tb2TmAu4
_space_group_name_H-M_alt 'I 4/m m m'
_space_group_IT_number 139
_space_group_name_Hall '-I 4 2'
_cell_length_a 5.153
_cell_length_b 5.153
_cell_length_c 12.907
_cell_angle_alpha 90.00
_cell_angle_beta 90.00
_cell_angle_gamma 90.00
loop_
_atom_site_label
_atom_site_fract_x
_atom_site_fract_y
_atom_site_fract_z
Tb1 0.000 0.000 0.226
Tm1 0.000 0.000 0.500
Au1 0.000 0.500 0.118

***

# 11
# DyZn2I6, optimized geometry, DFT PBE
# VASP energy (eV/atom): -2.56
# DOS at the Fermi energy (states/eV per cell): 8.33
# Formation energy without anion corrections (kcal/mol of atoms): -16.8
# Total moment (μB/atom): 0.00
data_DyZn2I6
_space_group_name_H-M_alt 'C 1 2/c 1'
_space_group_IT_number 15
_space_group_name_Hall '-C 2yc'
_cell_length_a 14.739
_cell_length_b 13.568
_cell_length_c 8.852
_cell_angle_alpha 90.00
_cell_angle_beta 110.29
_cell_angle_gamma 90.00
loop_
_atom_site_label
_atom_site_fract_x
_atom_site_fract_y
_atom_site_fract_z
Dy1 0.000 0.079 0.250
Zn1 0.189 0.409 0.253
I1 0.099 0.095 0.628
I2 0.137 0.481 0.954
I3 0.160 0.205 0.240

***

- DOS at the Fermi energy of number 6 (Pm3Y2Ho)?
  29.74 states/eV per cell